# 1
## BrO4F2 (PBE-GGA)

Data for a relaxed structure of BrO4F2.

abc: 3.743 5.082 6.771
angles: 82.26 79.89 83.25
Atoms (fractional coordinates):
Br1 0.000 0.000 0.000
O1 0.058 0.211 0.779
O2 0.411 0.416 0.483
O3 0.589 0.584 0.517
O4 0.942 0.789 0.221
F1 0.299 0.210 0.116
F2 0.701 0.790 0.884

- raw formation energy (meV per atom) = 94

=====

# 2
## InGaPb2Au6 (PBE-GGA)

Data for a relaxed structure of InGaPb2Au6.

abc: 5.678 8.989 9.303
angles: 90.00 90.00 90.00
Atoms (fractional coordinates):
In1 0.250 0.250 0.226
In2 0.750 0.750 0.774
Ga1 0.250 0.750 0.253
Ga2 0.750 0.250 0.747
Pb1 0.250 0.503 0.787
Pb2 0.250 0.997 0.787
Pb3 0.750 0.003 0.213
Pb4 0.750 0.497 0.213
Au1 0.002 0.250 0.499
Au2 0.002 0.750 0.023
Au3 0.250 0.502 0.398
Au4 0.250 0.998 0.398
Au5 0.498 0.250 0.499
Au6 0.498 0.750 0.023
Au7 0.502 0.250 0.977
Au8 0.502 0.750 0.501
Au9 0.750 0.002 0.602
Au10 0.750 0.498 0.602
Au11 0.998 0.250 0.977
Au12 0.998 0.750 0.501

- ΔH_f (0 K) (meV per atom) = -75

=====

# 3
## K2Na2TcO6 (PBE-GGA)

Data for a relaxed structure of K2Na2TcO6.

abc: 6.291 6.291 5.790
angles: 98.74 98.74 117.16
Atoms (fractional coordinates):
K1 0.154 0.846 0.000
K2 0.846 0.154 0.000
Na1 0.360 0.640 0.500
Na2 0.640 0.360 0.500
Tc1 0.500 0.500 0.000
O1 0.203 0.457 0.803
O2 0.320 0.320 0.202
O3 0.457 0.203 0.803
O4 0.543 0.797 0.197
O5 0.680 0.680 0.798
O6 0.797 0.543 0.197

- raw formation energy (meV per atom) = -1344

=====

# 4
## TmSc5Tl3 (PBE-GGA)

Data for a relaxed structure of TmSc5Tl3.

abc: 8.830 8.830 6.391
angles: 90.00 90.00 120.00
Atoms (fractional coordinates):
Tm1 0.000 0.000 0.000
Tm2 0.000 0.000 0.500
Sc1 0.000 0.338 0.250
Sc2 0.000 0.662 0.750
Sc3 0.333 0.667 0.000
Sc4 0.333 0.667 0.500
Sc5 0.338 0.000 0.250
Sc6 0.338 0.338 0.750
Sc7 0.662 0.000 0.750
Sc8 0.662 0.662 0.250
Sc9 0.667 0.333 0.000
Sc10 0.667 0.333 0.500
Tl1 0.000 0.333 0.750
Tl2 0.000 0.667 0.250
Tl3 0.333 0.000 0.750
Tl4 0.333 0.333 0.250
Tl5 0.667 0.000 0.250
Tl6 0.667 0.667 0.750

- ΔH_f (0 K) (meV per atom) = -264

=====

# 5
## CaGa2GeAu5 (PBE-GGA)

Data for a relaxed structure of CaGa2GeAu5.

abc: 4.322 4.322 11.111
angles: 90.00 90.00 90.00
Atoms (fractional coordinates):
Ca1 0.000 0.000 0.000
Ga1 0.500 0.500 0.222
Ga2 0.500 0.500 0.778
Ge1 0.000 0.000 0.500
Au1 0.000 0.500 0.354
Au2 0.000 0.500 0.646
Au3 0.500 0.000 0.354
Au4 0.500 0.000 0.646
Au5 0.500 0.500 0.000

- ΔH_f (0 K) (meV per atom) = -201

=====

# 6
## SmGaGe4 (PBE-GGA)

Data for a relaxed structure of SmGaGe4.

abc: 5.594 5.594 5.594
angles: 60.00 60.00 60.00
Atoms (fractional coordinates):
Sm1 0.000 0.000 0.000
Ga1 0.250 0.250 0.250
Ge1 0.126 0.625 0.625
Ge2 0.625 0.126 0.625
Ge3 0.625 0.625 0.126
Ge4 0.625 0.625 0.625

- ΔH_f (0 K) (meV per atom) = -174

=====

# 7
## Tb4Sn3Ru (PBE-GGA)

Data for a relaxed structure of Tb4Sn3Ru.

abc: 4.322 4.369 11.175
angles: 90.00 90.00 90.00
Atoms (fractional coordinates):
Tb1 0.000 0.000 0.000
Tb2 0.000 0.500 0.455
Tb3 0.500 0.000 0.695
Tb4 0.500 0.500 0.202
Sn1 0.000 0.500 0.740
Sn2 0.500 0.000 0.413
Sn3 0.500 0.500 0.922
Ru1 0.000 0.000 0.254

- ΔH_f (0 K) (meV per atom) = -585

=====

# 8
## Tb6Pm2Ho (PBE-GGA)

Data for a relaxed structure of Tb6Pm2Ho.

abc: 9.624 9.624 6.606
angles: 99.62 99.62 96.32
Atoms (fractional coordinates):
Tb1 0.038 0.441 0.727
Tb2 0.151 0.777 0.995
Tb3 0.223 0.849 0.505
Tb4 0.278 0.459 0.183
Tb5 0.441 0.038 0.227
Tb6 0.459 0.278 0.683
Tb7 0.541 0.722 0.317
Tb8 0.559 0.962 0.773
Tb9 0.722 0.541 0.817
Tb10 0.777 0.151 0.495
Tb11 0.849 0.223 0.005
Tb12 0.962 0.559 0.273
Pm1 0.119 0.168 0.372
Pm2 0.168 0.119 0.872
Pm3 0.832 0.881 0.128
Pm4 0.881 0.832 0.628
Ho1 0.382 0.618 0.750
Ho2 0.618 0.382 0.250

- ΔH_f (0 K) (meV per atom) = 112

=====

# 9
## TaInP2 (PBE-GGA)

Data for a relaxed structure of TaInP2.

abc: 6.579 6.579 6.579
angles: 90.00 90.00 90.00
Atoms (fractional coordinates):
Ta1 0.000 0.000 0.000
Ta2 0.000 0.500 0.500
Ta3 0.500 0.000 0.500
Ta4 0.500 0.500 0.000
In1 0.250 0.250 0.750
In2 0.250 0.750 0.250
In3 0.750 0.250 0.250
In4 0.750 0.750 0.750
P1 0.000 0.000 0.500
P2 0.000 0.500 0.000
P3 0.250 0.250 0.250
P4 0.250 0.750 0.750
P5 0.500 0.000 0.000
P6 0.500 0.500 0.500
P7 0.750 0.250 0.750
P8 0.750 0.750 0.250

- ΔH_f (0 K) (meV per atom) = 719

=====

# 10
## BaScPdO4 (PBE-GGA)

Data for a relaxed structure of BaScPdO4.

abc: 6.930 6.930 6.930
angles: 124.11 123.21 83.77
Atoms (fractional coordinates):
Ba1 0.368 0.118 0.250
Ba2 0.632 0.882 0.750
Sc1 0.000 0.000 0.500
Sc2 0.000 0.500 0.000
Pd1 0.000 0.500 0.500
Pd2 0.500 0.500 0.000
O1 0.196 0.742 0.454
O2 0.213 0.258 0.954
O3 0.215 0.268 0.553
O4 0.215 0.662 0.947
O5 0.785 0.338 0.053
O6 0.785 0.732 0.447
O7 0.787 0.742 0.046
O8 0.804 0.258 0.546

- raw formation energy (meV per atom) = -2015

=====

# 11
## Sm2Er4Tm7 (PBE-GGA)

Data for a relaxed structure of Sm2Er4Tm7.

abc: 6.083 7.832 9.308
angles: 65.12 84.00 82.48
Atoms (fractional coordinates):
Sm1 0.154 0.194 0.384
Sm2 0.846 0.806 0.616
Er1 0.308 0.885 0.771
Er2 0.462 0.578 0.153
Er3 0.538 0.422 0.847
Er4 0.692 0.115 0.229
Tm1 0.000 0.500 0.000
Tm2 0.076 0.345 0.693
Tm3 0.231 0.038 0.077
Tm4 0.385 0.729 0.461
Tm5 0.615 0.271 0.539
Tm6 0.769 0.962 0.923
Tm7 0.924 0.655 0.307

- ΔH_f (0 K) (meV per atom) = 21

=====

# 12
## YTaTl4 (PBE-GGA)

Data for a relaxed structure of YTaTl4.

abc: 6.022 6.022 6.022
angles: 60.00 60.00 60.00
Atoms (fractional coordinates):
Y1 0.000 0.000 0.000
Ta1 0.750 0.750 0.750
Tl1 0.375 0.375 0.375
Tl2 0.375 0.375 0.874
Tl3 0.375 0.874 0.375
Tl4 0.874 0.375 0.375

- ΔH_f (0 K) (meV per atom) = 596

=====

# 13
## TcSnO4 (PBE-GGA)

Data for a relaxed structure of TcSnO4.

abc: 5.284 4.697 5.765
angles: 90.00 90.00 90.00
Atoms (fractional coordinates):
Tc1 0.000 0.000 0.000
Tc2 0.000 0.500 0.500
Sn1 0.500 0.000 0.317
Sn2 0.500 0.500 0.817
O1 0.166 0.237 0.260
O2 0.166 0.263 0.760
O3 0.324 0.723 0.541
O4 0.324 0.777 0.041
O5 0.676 0.223 0.041
O6 0.676 0.277 0.541
O7 0.834 0.737 0.760
O8 0.834 0.763 0.260

- raw formation energy (meV per atom) = -1405

=====

# 14
## Tl2SbCl (PBE-GGA)

Data for a relaxed structure of Tl2SbCl.

abc: 3.547 5.681 5.741
angles: 90.00 90.00 90.00
Atoms (fractional coordinates):
Tl1 0.000 0.000 0.000
Tl2 0.000 0.500 0.500
Sb1 0.500 0.000 0.500
Cl1 0.500 0.500 0.000

- relative energy among the computed polymorphs (eV per formula unit) = 0.07
- raw formation energy (meV per atom) = -335

=====

# 15
## LuScBeAg (PBE-GGA)

Data for a relaxed structure of LuScBeAg.

abc: 6.806 6.806 6.806
angles: 90.00 90.00 90.00
Atoms (fractional coordinates):
Lu1 0.000 0.000 0.000
Lu2 0.000 0.500 0.500
Lu3 0.500 0.000 0.500
Lu4 0.500 0.500 0.000
Sc1 0.000 0.000 0.500
Sc2 0.000 0.500 0.000
Sc3 0.500 0.000 0.000
Sc4 0.500 0.500 0.500
Be1 0.250 0.250 0.750
Be2 0.250 0.750 0.250
Be3 0.750 0.250 0.250
Be4 0.750 0.750 0.750
Ag1 0.250 0.250 0.250
Ag2 0.250 0.750 0.750
Ag3 0.750 0.250 0.750
Ag4 0.750 0.750 0.250

- ΔH_f (0 K) (meV per atom) = -82

=====

# 16
## CaAlCu (PBE-GGA)

Data for a relaxed structure of CaAlCu.

abc: 6.806 6.806 6.806
angles: 90.00 90.00 90.00
Atoms (fractional coordinates):
Ca1 0.000 0.000 0.000
Ca2 0.000 0.500 0.500
Ca3 0.500 0.000 0.500
Ca4 0.500 0.500 0.000
Al1 0.250 0.250 0.750
Al2 0.250 0.750 0.250
Al3 0.750 0.250 0.250
Al4 0.750 0.750 0.750
Cu1 0.250 0.250 0.250
Cu2 0.250 0.750 0.750
Cu3 0.750 0.250 0.750
Cu4 0.750 0.750 0.250

- ΔH_f (0 K) (meV per atom) = 592

=====

# 17
## AcTb9Tm2 (PBE-GGA)

Data for a relaxed structure of AcTb9Tm2.

abc: 5.062 5.062 15.226
angles: 90.00 90.00 90.00
Atoms (fractional coordinates):
Ac1 0.000 0.000 0.000
Tb1 0.000 0.500 0.175
Tb2 0.000 0.500 0.500
Tb3 0.000 0.500 0.825
Tb4 0.500 0.000 0.175
Tb5 0.500 0.000 0.500
Tb6 0.500 0.000 0.825
Tb7 0.500 0.500 0.000
Tb8 0.500 0.500 0.338
Tb9 0.500 0.500 0.662
Tm1 0.000 0.000 0.337
Tm2 0.000 0.000 0.663

- ΔH_f (0 K) (meV per atom) = 36

=====

# 18
## CeSm6Er12 (PBE-GGA)

Data for a relaxed structure of CeSm6Er12.

abc: 8.663 8.663 8.663
angles: 98.98 98.98 98.98
Atoms (fractional coordinates):
Ce1 0.000 0.000 0.000
Sm1 0.100 0.100 0.658
Sm2 0.100 0.658 0.100
Sm3 0.342 0.900 0.900
Sm4 0.658 0.100 0.100
Sm5 0.900 0.342 0.900
Sm6 0.900 0.900 0.342
Er1 0.080 0.353 0.353
Er2 0.244 0.500 0.756
Er3 0.244 0.756 0.500
Er4 0.353 0.080 0.353
Er5 0.353 0.353 0.080
Er6 0.500 0.244 0.756
Er7 0.500 0.756 0.244
Er8 0.647 0.647 0.920
Er9 0.647 0.920 0.647
Er10 0.756 0.244 0.500
Er11 0.756 0.500 0.244
Er12 0.920 0.647 0.647

- ΔH_f (0 K) (meV per atom) = 217

=====

# 19
## Na3CoSe (PBE-GGA)

Data for a relaxed structure of Na3CoSe.

abc: 5.495 5.495 5.495
angles: 90.00 90.00 90.00
Atoms (fractional coordinates):
Na1 0.000 0.000 0.500
Na2 0.000 0.500 0.000
Na3 0.500 0.000 0.000
Co1 0.500 0.500 0.500
Se1 0.000 0.000 0.000

- relative energy among the computed polymorphs (eV per formula unit) = 0.00
- raw formation energy (meV per atom) = 160

=====

# 20
## CaFe2Pb (PBE-GGA)

Data for a relaxed structure of CaFe2Pb.

abc: 7.795 4.503 5.733
angles: 90.00 117.15 90.00
Atoms (fractional coordinates):
Ca1 0.000 0.000 0.000
Ca2 0.500 0.500 0.000
Fe1 0.185 0.000 0.556
Fe2 0.315 0.500 0.444
Fe3 0.685 0.500 0.556
Fe4 0.815 0.000 0.444
Pb1 0.000 0.500 0.500
Pb2 0.500 0.000 0.500

- ΔH_f (0 K) (meV per atom) = 306

=====

| no. | DOS(E_F) (states/eV per cell) |
| --- | --- |
| 1 | 0.94 |
| 2 | 6.22 |
| 3 | 6.17 |
| 4 | 20.45 |
| 5 | 3.56 |
| 6 | 3.26 |
| 7 | 7.12 |
| 8 | 23.15 |
| 9 | 14.79 |
| 10 | 1.02 |
| 11 | 16.35 |
| 12 | 5.18 |
| 13 | 1.86 |
| 14 | 2.45 |
| 15 | 16.38 |
| 16 | 11.99 |
| 17 | 18.77 |
| 18 | 32.10 |
| 19 | 51.46 |
| 20 | 9.34 |